# 1
The following is a meta-GGA SCAN calculation of a crystal of Li2TiSb2 relaxed with PBEsol, from the Alexandria database.

## Properties
space group: P4/mbm

Geometry as POSCAR:
```
Li2TiSb2
1.0
7.6780 0.0000 0.0000
0.0000 7.6780 0.0000
0.0000 0.0000 3.2404
Li Ti Sb
4 2 4
direct
0.1249 0.3751 0.0000 Li
0.3751 0.8751 0.0000 Li
0.6249 0.1249 0.0000 Li
0.8751 0.6249 0.0000 Li
0.0000 0.0000 0.5000 Ti
0.5000 0.5000 0.5000 Ti
0.1752 0.6752 0.5000 Sb
0.3248 0.1752 0.5000 Sb
0.6752 0.8248 0.5000 Sb
0.8248 0.3248 0.5000 Sb
```

# 2
The following is a meta-GGA SCAN calculation of a crystal of LiTlSb2 relaxed with PBEsol, from the Alexandria database.

## Properties
space group: C2/m

Geometry as POSCAR:
```
LiTlSb2
1.0
4.7592 -1.9926 0.0000
4.7592 1.9926 0.0000
-1.5460 0.0000 5.6465
Li Tl Sb
1 1 2
direct
0.0000 0.0000 0.0000 Li
0.5000 0.5000 0.5000 Tl
0.2545 0.2545 0.8181 Sb
0.7455 0.7455 0.1819 Sb
```

# 3
The following is a meta-GGA SCAN calculation of a crystal of LiTlSb2 relaxed with PBEsol, from the Alexandria database.

## Properties
space group: F-43m

Geometry as POSCAR:
```
LiTlSb2
1.0
0.0000 3.7009 3.7009
3.7009 0.0000 3.7009
3.7009 3.7009 0.0000
Li Tl Sb
1 1 2
direct
0.0000 0.0000 0.0000 Li
0.2500 0.2500 0.2500 Tl
0.5000 0.5000 0.5000 Sb
0.7500 0.7500 0.7500 Sb
```

# 4
The following is a meta-GGA SCAN calculation of a crystal of LiTl2Sb relaxed with PBEsol, from the Alexandria database.

## Properties
space group: P4mm

Geometry as POSCAR:
```
LiTl2Sb
1.0
3.4236 0.0000 0.0000
0.0000 3.4236 0.0000
0.0000 0.0000 8.3709
Li Tl Sb
1 2 1
direct
0.0000 0.0000 0.0000 Li
0.0000 0.0000 0.5216 Tl
0.5000 0.5000 0.2243 Tl
0.5000 0.5000 0.8057 Sb
```

# 5
The following is a meta-GGA SCAN calculation of a crystal of LiTlSb2 relaxed with PBEsol, from the Alexandria database.

## Properties
space group: P4/mmm

Geometry as POSCAR:
```
LiTlSb2
1.0
4.5220 0.0000 0.0000
0.0000 4.5220 0.0000
0.0000 0.0000 4.9223
Li Tl Sb
1 1 2
direct
0.0000 0.0000 0.0000 Li
0.5000 0.5000 0.0000 Tl
0.0000 0.5000 0.5000 Sb
0.5000 0.0000 0.5000 Sb
```

# 6
The following is a meta-GGA SCAN calculation of a crystal of LiTl2Sb2 relaxed with PBEsol, from the Alexandria database.

## Properties
space group: P4/mbm

Geometry as POSCAR:
```
LiTl2Sb2
1.0
7.3079 0.0000 0.0000
0.0000 7.3079 0.0000
0.0000 0.0000 5.1869
Li Tl Sb
2 4 4
direct
0.0000 0.0000 0.0000 Li
0.5000 0.5000 0.0000 Li
0.1720 0.3280 0.5000 Tl
0.3280 0.8280 0.5000 Tl
0.6720 0.1720 0.5000 Tl
0.8280 0.6720 0.5000 Tl
0.1378 0.6378 0.0000 Sb
0.3622 0.1378 0.0000 Sb
0.6378 0.8622 0.0000 Sb
0.8622 0.3622 0.0000 Sb
```

# 7
The following is a meta-GGA SCAN calculation of a crystal of LiTlSb2 relaxed with PBEsol, from the Alexandria database.

## Properties
space group: Pmmm

Geometry as POSCAR:
```
LiTlSb2
1.0
3.2032 0.0000 0.0000
0.0000 4.4094 0.0000
0.0000 0.0000 7.2375
Li Tl Sb
1 1 2
direct
0.0000 0.0000 0.0000 Li
0.0000 0.0000 0.5000 Tl
0.5000 0.5000 0.2009 Sb
0.5000 0.5000 0.7991 Sb
```

# 8
The following is a meta-GGA SCAN calculation of a crystal of LiTlSb2 relaxed with PBEsol, from the Alexandria database.

## Properties
space group: Pmm2

Geometry as POSCAR:
```
LiTlSb2
1.0
3.3299 0.0000 0.0000
0.0000 5.5531 0.0000
0.0000 0.0000 5.5426
Li Tl Sb
1 1 2
direct
0.0000 0.0000 0.0000 Li
0.0000 0.5000 0.6990 Tl
0.5000 0.0000 0.4693 Sb
0.5000 0.5000 0.2017 Sb
```

# 9
The following is a meta-GGA SCAN calculation of a crystal of LiTl2Sb relaxed with PBEsol, from the Alexandria database.

## Properties
space group: Pm

Geometry as POSCAR:
```
LiTl2Sb
1.0
3.2879 0.0000 0.0000
0.0000 4.7104 0.0000
-0.0065 0.0000 6.7927
Li Tl Sb
1 2 1
direct
0.0000 0.0000 0.0000 Li
0.4976 0.0000 0.4120 Tl
0.9973 0.5000 0.6645 Tl
0.4998 0.5000 0.0796 Sb
```

# 10
The following is a meta-GGA SCAN calculation of a crystal of LiTlSb2 relaxed with PBEsol, from the Alexandria database.

## Properties
space group: R-3m

Geometry as POSCAR:
```
LiTlSb2
1.0
1.6548 0.9554 10.4856
-1.6548 0.9554 10.4856
0.0000 -1.9108 10.4856
Li Tl Sb
1 1 2
direct
0.0000 0.0000 0.0000 Li
0.5000 0.5000 0.5000 Tl
0.2610 0.2610 0.2610 Sb
0.7390 0.7390 0.7390 Sb
```

# 11
The following is a meta-GGA SCAN calculation of a crystal of LiTl2Sb relaxed with PBEsol, from the Alexandria database.

## Properties
space group: Pmm2

Geometry as POSCAR:
```
LiTl2Sb
1.0
3.2863 0.0000 0.0000
0.0000 4.1068 0.0000
0.0000 0.0000 7.5662
Li Tl Sb
1 2 1
direct
0.0000 0.0000 0.0000 Li
0.0000 0.0000 0.4456 Tl
0.5000 0.5000 0.7424 Tl
0.5000 0.5000 0.1682 Sb
```

# 12
The following is a meta-GGA SCAN calculation of a crystal of LiTl2Sb relaxed with PBEsol, from the Alexandria database.

## Properties
space group: F-43m

Geometry as POSCAR:
```
LiTl2Sb
1.0
0.0000 3.7482 3.7482
3.7482 0.0000 3.7482
3.7482 3.7482 0.0000
Li Tl Sb
1 2 1
direct
0.0000 0.0000 0.0000 Li
0.2500 0.2500 0.2500 Tl
0.5000 0.5000 0.5000 Tl
0.7500 0.7500 0.7500 Sb
```

# 13
The following is a meta-GGA SCAN calculation of a crystal of LiSbW relaxed with PBEsol, from the Alexandria database.

## Properties
space group: Fmm2

Geometry as POSCAR:
```
LiSbW
1.0
0.0000 2.3504 6.9572
1.7108 0.0000 6.9572
1.7108 2.3504 0.0000
Li Sb W
1 1 1
direct
0.0000 0.0000 0.0000 Li
0.6887 0.6887 0.3113 Sb
0.3446 0.3446 0.6554 W
```

# 14
The following is a meta-GGA SCAN calculation of a crystal of LiSbW relaxed with PBEsol, from the Alexandria database.

## Properties
space group: F-43m

Geometry as POSCAR:
```
LiSbW
1.0
0.0000 3.1153 3.1153
3.1153 0.0000 3.1153
3.1153 3.1153 0.0000
Li Sb W
1 1 1
direct
0.0000 0.0000 0.0000 Li
0.7500 0.7500 0.7500 Sb
0.5000 0.5000 0.5000 W
```

# 15
The following is a meta-GGA SCAN calculation of a crystal of LiYSb relaxed with PBEsol, from the Alexandria database.

## Properties
space group: P-6m2

Geometry as POSCAR:
```
LiYSb
1.0
4.3765 0.0000 0.0000
-2.1883 3.7902 0.0000
0.0000 0.0000 4.0314
Li Y Sb
1 1 1
direct
0.0000 0.0000 0.0000 Li
0.6667 0.3333 0.5000 Y
0.3333 0.6667 0.0000 Sb
```

Number 1: formation energy from raw total energies -0.299 eV/atom, total magnetization 0.00 μB per formula unit. Number 2: formation energy from raw total energies -0.180 eV/atom, total magnetization 0.00 μB per formula unit. Number 3: formation energy from raw total energies -0.008 eV/atom, total magnetization 0.00 μB per formula unit. Number 4: formation energy from raw total energies -0.161 eV/atom, total magnetization 0.00 μB per formula unit. Number 5: formation energy from raw total energies -0.144 eV/atom, total magnetization 0.00 μB per formula unit. Number 6: formation energy from raw total energies -0.095 eV/atom, total magnetization 0.00 μB per formula unit. Number 7: formation energy from raw total energies -0.195 eV/atom, total magnetization 0.00 μB per formula unit. Number 8: formation energy from raw total energies -0.093 eV/atom, total magnetization 0.00 μB per formula unit. Number 9: formation energy from raw total energies -0.162 eV/atom, total magnetization 0.00 μB per formula unit. Number 10: formation energy from raw total energies -0.105 eV/atom, total magnetization 0.00 μB per formula unit. Number 11: formation energy from raw total energies -0.145 eV/atom, total magnetization 0.00 μB per formula unit. Number 12: formation energy from raw total energies -0.132 eV/atom, total magnetization 0.00 μB per formula unit. Number 13: formation energy from raw total energies 0.546 eV/atom, total magnetization 0.00 μB per formula unit. Number 14: formation energy from raw total energies 0.756 eV/atom, total magnetization 1.46 μB per formula unit. Number 15: formation energy from raw total energies -0.875 eV/atom, total magnetization 0.10 μB per formula unit.